The following is a PBE calculation of a relaxed structure of CoAsAu2, from the Alexandria database.

abc: 4.7738 4.7738 3.1185
angles: 90.00 90.00 110.04
Closest atoms and distances in Å follow each position.
Fractional positions:
Co  0.0000  0.0000  0.0000  2 As 2.74, 8 Au 2.85
As  0.5000  0.5000  0.0000  2 Co 2.74, 8 Au 2.85
Au  0.0000  0.5000  0.5000  2 Au 2.74, 4 As 2.85, 4 Co 2.85
Au  0.5000  0.0000  0.5000  2 Au 2.74, 4 As 2.85, 4 Co 2.85

## Properties
Its space-group type is No. 65.


The following is a PBE calculation of a relaxed structure of CoAsAu2, from the Alexandria database.

abc: 6.6866 6.6866 3.7530
angles: 103.15 103.15 24.74
Closest atoms and distances in Å follow each position.
Fractional positions:
Co  0.0000  0.0000  0.0000  4 As 2.36
As  0.5000  0.5000  0.5000  4 Co 2.36
Au  0.3179  0.3179  0.8031  2 Co 2.73, 6 Au 2.86-2.93, 1 As 2.87
Au  0.6821  0.6821  0.1969  2 Co 2.73, 6 Au 2.86-2.93, 1 As 2.87

## Properties
Its space-group type is No. 12.


The following is a PBE calculation of a relaxed structure of CoAsAu2, from the Alexandria database.

abc: 4.8688 4.8688 4.8688
angles: 130.23 130.23 73.04
Closest atoms and distances in Å follow each position.
Fractional positions:
Co  0.0000  0.0000  0.0000  4 As 2.83, 8 Au 2.83-2.90
As  0.2500  0.7500  0.5000  4 Co 2.83, 8 Au 2.83-2.90
Au  0.5000  0.5000  0.0000  4 As 2.83, 4 Au 2.83, 4 Co 2.90
Au  0.7500  0.2500  0.5000  4 Co 2.83, 4 Au 2.83, 4 As 2.90

## Properties
Its space-group type is No. 119.


The following is a PBE calculation of a relaxed structure of CoAsAu2, from the Alexandria database.

abc: 2.8368 2.8368 8.3841
angles: 90.00 90.00 90.00
Closest atoms and distances in Å follow each position.
Fractional positions:
Co  0.0000  0.0000  0.0000  8 Au 2.73, 4 Co 2.84
As  0.0000  0.0000  0.5000  4 As 2.84, 8 Au 3.08
Au  0.5000  0.5000  0.2208  4 Co 2.73, 4 Au 2.84
Au  0.5000  0.5000  0.7792  4 Co 2.73, 4 Au 2.84

## Properties
Its space-group type is No. 123.


The following is a PBE calculation of a relaxed structure of CoAsAu2, from the Alexandria database.

abc: 3.1218 4.8818 4.4566
angles: 90.00 91.81 90.00
Closest atoms and distances in Å follow each position.
Fractional positions:
Co  0.0000  0.0000  0.0000  4 As 2.68-2.76, 4 Au 2.79
As  0.5000  0.0000  0.5000  4 Co 2.68-2.76, 4 Au 2.81
Au  0.2473  0.5000  0.7542  4 Au 2.66-2.80, 2 Co 2.79, 2 As 2.81
Au  0.7527  0.5000  0.2458  4 Au 2.66-2.80, 2 Co 2.79, 2 As 2.81

## Properties
Its space-group type is No. 10.


The following is a PBE calculation of a relaxed structure of CoAsAu3, from the Alexandria database.

abc: 4.8647 4.8647 4.8647
angles: 90.00 90.00 90.00
Closest atoms and distances in Å follow each position.
Fractional positions:
Co  0.0000  0.0000  0.0000  12 Au 3.44
As  0.5000  0.5000  0.5000  6 Au 2.43
Au  0.0000  0.5000  0.5000  2 As 2.43
Au  0.5000  0.0000  0.5000  2 As 2.43
Au  0.5000  0.5000  0.0000  2 As 2.43

## Properties
The energy above the lowest structure with this stoichiometry comes out at 0 meV per atom. Its space-group type is No. 221.


The following is a PBE calculation of a relaxed structure of CoAsAu2, from the Alexandria database.

abc: 4.5252 4.5252 4.5252
angles: 60.00 60.00 60.00
Closest atoms and distances in Å follow each position.
Fractional positions:
Co  0.0000  0.0000  0.0000  4 As 2.77, 4 Au 2.77
As  0.7500  0.7500  0.7500  4 Au 2.77, 4 Co 2.77
Au  0.2500  0.2500  0.2500  4 Co 2.77, 4 Au 2.77
Au  0.5000  0.5000  0.5000  4 Au 2.77, 4 As 2.77

## Properties
Its space-group type is No. 216.


The following is a PBE calculation of a relaxed structure of CoAsAu2, from the Alexandria database.

abc: 8.9374 8.9374 8.9374
angles: 19.06 19.06 19.06
Closest atoms and distances in Å follow each position.
Fractional positions:
Co  0.0000  0.0000  0.0000  3 As 2.32
As  0.7265  0.7265  0.7265  3 Co 2.32
Au  0.2532  0.2532  0.2532  3 Co 2.71, 9 Au 2.96-2.98
Au  0.4939  0.4939  0.4939  9 Au 2.96-2.98, 3 As 3.15

## Properties
Its space-group type is No. 160.


no.,E_form (meV/atom),calculated density (Mg/m³)
1,329,13.13
2,107,12.83
3,318,13.34
4,255,12.99
5,322,12.91
6,882,10.45
7,342,13.38
8,122,13.16